DFT (PBE) results for a geometry-optimized LaTcB2Te structure.

Summary:
* volume: 20.3 Å³/atom
* DOS(E_F): 4.1 states/eV per cell
* E_form (uncorrected): 1.368 eV per atom
* theoretical density: 6.302 Mg/m³

a = 4.5188 Å, b = 4.5188 Å, c = 4.9825 Å
α = 90.00°, β = 90.00°, γ = 90.00°
Closest atoms and distances in Å follow each position.
Space group P4/mmm (No. 123)
Symmetry-distinct sites (fractional):
La 0.0000 0.0000 0.0000 (multiplicity 1)  4 Tc 3.20, 8 B 3.36
Tc 0.5000 0.5000 0.0000 (multiplicity 1)  2 Te 2.49
B 0.0000 0.5000 0.5000 (multiplicity 2)  2 Te 2.26
Te 0.5000 0.5000 0.5000 (multiplicity 1)  4 B 2.26, 2 Tc 2.49